# Ce12PrTh7 (PBE, optimized geometry)
# Crystal system: cubic
# Final energy, eV for the cell shown: -223.93
# D(E_F), states/eV per cell: 148.41
# V, Å³/cell: 1367
data_Ce12PrTh7
_chemical_formula_sum 'Ce24 Pr2 Th14'
_cell_length_a 11.0996
_cell_length_b 11.0996
_cell_length_c 11.0996
_cell_angle_alpha 90.00
_cell_angle_beta 90.00
_cell_angle_gamma 90.00
_symmetry_space_group_name_H-M 'I m -3'
_symmetry_Int_Tables_number 204
_symmetry_space_group_name_Hall '-I 2 2 3'
loop_
_atom_site_label
_atom_site_type_symbol
_atom_site_fract_x
_atom_site_fract_y
_atom_site_fract_z
Ce1 Ce 0.0000 0.3074 0.2142
Pr1 Pr 0.0000 0.0000 0.0000
Th1 Th 0.0000 0.0000 0.5000
Th2 Th 0.2500 0.2500 0.2500



# Ce2PrTh (PBE, optimized geometry)
# Crystal system: tetragonal
# Final energy, eV for the cell shown: -23.84
# D(E_F), states/eV per cell: 8.72
# Energy above the lowest structure with this stoichiometry, eV/atom: 0.000
# V, Å³/cell: 123
data_Ce2PrTh
_chemical_formula_sum 'Ce2 Pr1 Th1'
_cell_length_a 3.4983
_cell_length_b 3.4983
_cell_length_c 10.0618
_cell_angle_alpha 90.00
_cell_angle_beta 90.00
_cell_angle_gamma 90.00
_symmetry_space_group_name_H-M 'P 4/m m m'
_symmetry_Int_Tables_number 123
_symmetry_space_group_name_Hall '-P 4 2'
loop_
_atom_site_label
_atom_site_type_symbol
_atom_site_fract_x
_atom_site_fract_y
_atom_site_fract_z
Ce1 Ce 0.0000 0.0000 0.2366
Pr1 Pr 0.5000 0.5000 0.5000
Th1 Th 0.5000 0.5000 0.0000



# Ce2PrTh7 (PBE, optimized geometry)
# Crystal system: monoclinic
# Final energy, eV for the cell shown: -136.35
# D(E_F), states/eV per cell: 34.47
# V, Å³/cell: 631
data_Ce2PrTh7
_chemical_formula_sum 'Ce4 Pr2 Th14'
_cell_length_a 18.1241
_cell_length_b 5.0026
_cell_length_c 7.1042
_cell_angle_alpha 90.00
_cell_angle_beta 101.76
_cell_angle_gamma 90.00
_symmetry_space_group_name_H-M 'C 1 2/m 1'
_symmetry_Int_Tables_number 12
_symmetry_space_group_name_Hall '-C 2y'
loop_
_atom_site_label
_atom_site_type_symbol
_atom_site_fract_x
_atom_site_fract_y
_atom_site_fract_z
Ce1 Ce 0.1995 0.0000 0.0996
Pr1 Pr 0.0000 0.0000 0.5000
Th1 Th 0.0000 0.0000 0.0000
Th2 Th 0.1019 0.5000 0.2990
Th3 Th 0.1033 0.5000 0.8053
Th4 Th 0.2015 0.0000 0.6030



# Ce2Pr2Th15 (PBE, optimized geometry)
# Crystal system: trigonal
# Final energy, eV for the cell shown: -382.97
# D(E_F), states/eV per cell: 123.60
# V, Å³/cell: 1957
data_Ce2Pr2Th15
_chemical_formula_sum 'Ce6 Pr6 Th45'
_cell_length_a 11.4643
_cell_length_b 11.4643
_cell_length_c 17.1894
_cell_angle_alpha 90.00
_cell_angle_beta 90.00
_cell_angle_gamma 120.00
_symmetry_space_group_name_H-M 'R -3 m'
_symmetry_Int_Tables_number 166
_symmetry_space_group_name_Hall '-R 3 2"'
loop_
_atom_site_label
_atom_site_type_symbol
_atom_site_fract_x
_atom_site_fract_y
_atom_site_fract_z
Ce1 Ce 0.0000 0.0000 0.0831
Pr1 Pr 0.0000 0.0000 0.3253
Th1 Th 0.0000 0.2995 0.0000
Th2 Th 0.0000 0.5000 0.5000
Th3 Th 0.0044 0.5022 0.1530